{"formula": "Ge2Rh4S", "functional": "GGA-PBE", "state": "relaxed", "cell": [[4.3934, 0.0000, 0.0000], [0.0000, 4.3934, 0.0000], [2.1967, 2.1967, 6.2731]], "species": ["Ge", "Ge", "Rh", "Rh", "Rh", "Rh", "S"], "fractional_positions": [[0.3701, 0.3701, 0.2597], [0.6299, 0.6299, 0.7403], [0.1838, 0.1838, 0.6323], [0.8162, 0.8162, 0.3677], [0.0000, 0.5000, 0.0000], [0.5000, 0.0000, 0.0000], [0.0000, 0.0000, 0.0000]], "total_magnetization_mub_per_fu": 0.0, "sg": "I4/mmm, No. 139", "formation_energy_uncorrected_ev_per_atom": 0.19}

{"formula": "GeRhS2", "functional": "GGA-PBE", "state": "relaxed", "cell": [[-2.4786, -4.9088, 0.8152], [-0.7640, -0.5245, -5.4814], [3.1990, -5.2223, -2.7652]], "species": ["Ge", "Ge", "Rh", "Rh", "S", "S", "S", "S"], "fractional_positions": [[0.5000, 0.5000, 0.0000], [0.2500, 0.7500, 0.5000], [0.0000, 0.0000, 0.0000], [0.7500, 0.2500, 0.5000], [0.6545, 0.1250, 0.2500], [0.0955, 0.6250, 0.2500], [0.3750, 0.3455, 0.7500], [0.8750, 0.9045, 0.7500]], "total_magnetization_mub_per_fu": 0.0, "sg": "I-42d, No. 122", "formation_energy_uncorrected_ev_per_atom": -0.05}

{"formula": "GeRhS4", "functional": "GGA-PBE", "state": "relaxed", "cell": [[-1.4726, 1.5694, -2.8422], [-3.6451, -4.8001, -0.7619], [-7.3349, 5.0123, 6.5681]], "species": ["Ge", "Ge", "Rh", "Rh", "S", "S", "S", "S", "S", "S", "S", "S"], "fractional_positions": [[0.5000, 0.0000, 0.5000], [0.0000, 0.0000, 0.0000], [0.0000, 0.5000, 0.5000], [0.5000, 0.5000, 0.0000], [0.5000, 0.6557, 0.3881], [0.0000, 0.3443, 0.1119], [0.5000, 0.3443, 0.6119], [0.0000, 0.6557, 0.8881], [0.0000, 0.1697, 0.3822], [0.5000, 0.8303, 0.1178], [0.0000, 0.8303, 0.6178], [0.5000, 0.1697, 0.8822]], "total_magnetization_mub_per_fu": 0.0, "sg": "C2/m, No. 12", "formation_energy_uncorrected_ev_per_atom": -0.29}

{"formula": "Sn2GeRhS", "functional": "GGA-PBE", "state": "relaxed", "cell": [[-1.7154, -3.2535, -3.6289], [2.8574, -3.2883, 1.5974], [-3.6918, -1.6442, 3.2193]], "species": ["S", "Ge", "Rh", "Sn", "Sn"], "fractional_positions": [[0.5000, 0.5000, 0.5000], [0.0000, 0.5000, 0.0000], [0.0000, 0.0000, 0.0000], [0.0000, 0.0000, 0.5000], [0.5000, 0.0000, 0.0000]], "total_magnetization_mub_per_fu": 0.0, "sg": "P4/mmm, No. 123", "formation_energy_uncorrected_ev_per_atom": -0.03}